Record 1
# MgMo3O (GGA+U, optimized geometry)
data_MgMo3O
_space_group_name_H-M_alt 'P m -3 m'
_space_group_IT_number 221
_space_group_name_Hall '-P 4 2 3'
_cell_length_a 5.3714
_cell_length_b 5.3714
_cell_length_c 5.3714
_cell_angle_alpha 90.00
_cell_angle_beta 90.00
_cell_angle_gamma 90.00
loop_
_atom_site_label
_atom_site_fract_x
_atom_site_fract_y
_atom_site_fract_z
Mg1 0.0000 0.0000 0.0000
Mo1 0.0000 0.0000 0.5000
O1 0.5000 0.5000 0.5000
# Volume (Å³ per cell): 155.0
# Crystal system: cubic
# Energy (eV/cell): -16.3
# Polymorph energy (0 for the lowest one) (eV per atom): 1.621
# Total magnetization (μB per atom): 2.69


Record 2
# MgMoO2 (GGA+U, optimized geometry)
data_MgMoO2
_space_group_name_H-M_alt 'R -3 m'
_space_group_IT_number 166
_space_group_name_Hall '-R 3 2"'
_cell_length_a 3.0446
_cell_length_b 3.0446
_cell_length_c 17.9886
_cell_angle_alpha 90.00
_cell_angle_beta 90.00
_cell_angle_gamma 120.00
loop_
_atom_site_label
_atom_site_fract_x
_atom_site_fract_y
_atom_site_fract_z
Mg1 0.0000 0.0000 0.0000
Mo1 0.0000 0.0000 0.5000
O1 0.0000 0.0000 0.3941
# Volume (Å³ per cell): 144.4
# Crystal system: trigonal
# Energy (eV/cell): -74.4
# Total magnetization (μB per atom): 0.05


Record 3
# Mg2Mo3O8 (GGA+U, optimized geometry)
data_Mg2Mo3O8
_space_group_name_H-M_alt 'P 63 m c'
_space_group_IT_number 186
_space_group_name_Hall 'P 6c -2c'
_cell_length_a 6.2794
_cell_length_b 6.2794
_cell_length_c 9.4623
_cell_angle_alpha 90.00
_cell_angle_beta 90.00
_cell_angle_gamma 120.00
loop_
_atom_site_label
_atom_site_fract_x
_atom_site_fract_y
_atom_site_fract_z
Mg1 0.3333 0.6667 0.0000
Mg2 0.3333 0.6667 0.3857
Mo1 0.1640 0.3279 0.6693
O1 0.0000 0.0000 0.0549
O2 0.0400 0.5200 0.5422
O3 0.1698 0.3395 0.2644
O4 0.3333 0.6667 0.7889
# Volume (Å³ per cell): 323.1
# Crystal system: hexagonal
# Energy (eV/cell): -180.0
# Polymorph energy (0 for the lowest one) (eV per atom): 0.000
# Total magnetization (μB per atom): 0.46


Record 4
# MgMoO3 (GGA+U, optimized geometry)
data_MgMoO3
_space_group_name_H-M_alt 'P -6 m 2'
_space_group_IT_number 187
_space_group_name_Hall 'P -6 2'
_cell_length_a 5.5307
_cell_length_b 5.5307
_cell_length_c 2.6842
_cell_angle_alpha 90.00
_cell_angle_beta 90.00
_cell_angle_gamma 120.00
loop_
_atom_site_label
_atom_site_fract_x
_atom_site_fract_y
_atom_site_fract_z
Mg1 0.0000 0.0000 0.0000
Mo1 0.6667 0.3333 0.0000
O1 0.3362 0.1681 0.5000
# Volume (Å³ per cell): 71.1
# Crystal system: hexagonal
# Energy (eV/cell): -32.3
# Total magnetization (μB per atom): 0.18